Here is crystalline CsPm4Pb3O12 at its relaxed geometry from the Alexandria database. Energies are from PBE-GGA.

Geometry as CIF:
```
data_CsPm4Pb3O12
_cell_length_a 8.7867
_cell_length_b 8.7867
_cell_length_c 8.7867
_cell_angle_alpha 90.00
_cell_angle_beta 90.00
_cell_angle_gamma 90.00
_symmetry_space_group_name_H-M 'I m -3'
_symmetry_Int_Tables_number 204
_symmetry_space_group_name_Hall '-I 2 2 3'
loop_
_atom_site_label
_atom_site_fract_x
_atom_site_fract_y
_atom_site_fract_z
_atom_site_occupancy
Cs1 0.0000 0.0000 0.0000 1
Pm1 0.2500 0.2500 0.2500 1
Pb1 0.0000 0.0000 0.5000 1
O1 0.0000 0.3226 0.1770 1
```

Summary:
Raw formation energy = -2.07 eV per atom
V = 678.39 Å³/cell
D(E_F) = 0.400 states/eV per atom